Here is Ge2RuC4Cl6O4 at its PBEsol-relaxed geometry from Alexandria via LeMat-Bulk. Energies are from SCAN.

Results
E_form (uncorrected) (eV/atom): -0.8488
Uncorrected energy (Ry/atom): -0.867
Space group: P2_1/c, No. 14

Lattice parameters (Å, degrees): 8.465 9.289 10.365 90.00 90.00 94.60
Element x y z (fractional)
C (0.493, 0.291, 0.483)
Cl (0.865, 0.984, 0.365)
Cl (0.365, 0.484, 0.135)
Cl (0.898, 0.667, 0.646)
Cl (0.602, 0.833, 0.146)
O (0.763, 0.538, 0.293)
C (0.835, 0.977, 0.870)
C (0.993, 0.791, 0.017)
Cl (0.336, 0.800, 0.835)
C (0.165, 0.023, 0.130)
Ge (0.289, 0.505, 0.332)
C (0.665, 0.523, 0.370)
Ge (0.711, 0.495, 0.668)
O (0.487, 0.168, 0.474)
C (0.335, 0.477, 0.630)
Cl (0.135, 0.016, 0.635)
O (0.737, 0.962, 0.793)
O (0.513, 0.832, 0.526)
Cl (0.635, 0.516, 0.865)
Cl (0.664, 0.200, 0.165)
Ge (0.789, 0.005, 0.168)
Ru (0.000, 0.000, 0.000)
C (0.007, 0.209, 0.983)
C (0.507, 0.709, 0.517)
Cl (0.164, 0.700, 0.335)
O (0.987, 0.668, 0.026)
Ge (0.211, 0.995, 0.832)
O (0.237, 0.462, 0.707)
O (0.263, 0.038, 0.207)
Ru (0.500, 0.500, 0.500)
Cl (0.398, 0.167, 0.854)
Cl (0.836, 0.300, 0.665)
O (0.013, 0.332, 0.974)
Cl (0.102, 0.333, 0.354)